(1)
# MgSiOs2 SCAN single point on PBEsol structure
data_MgSiOs2
_chemical_formula_sum 'Mg1 Si1 Os2'
_cell_length_a 2.7931
_cell_length_b 2.7931
_cell_length_c 7.7344
_cell_angle_alpha 90.00
_cell_angle_beta 90.00
_cell_angle_gamma 90.00
_symmetry_space_group_name_H-M 'P 4 m m'
_symmetry_Int_Tables_number 99
loop_
_symmetry_equiv_pos_as_xyz
'x,y,z'
'-y,x,z'
'-x,-y,z'
'y,-x,z'
'-x,y,z'
'y,x,z'
'x,-y,z'
'-y,-x,z'
loop_
_atom_site_label
_atom_site_type_symbol
_atom_site_fract_x
_atom_site_fract_y
_atom_site_fract_z
Mg1 Mg 0.0000 0.0000 0.0000
Si1 Si 0.5000 0.5000 0.6980
Os1 Os 0.0000 0.0000 0.4858
Os2 Os 0.5000 0.5000 0.2615
# - uncorrected formation energy (eV per atom) = 0.00
# - V (A^3/atom) = 15.1

---

(2)
# BeZnCrC2 SCAN single point on PBEsol structure
data_BeZnCrC2
_chemical_formula_sum 'Be1 Zn1 Cr1 C2'
_cell_length_a 3.5728
_cell_length_b 3.5728
_cell_length_c 4.1304
_cell_angle_alpha 90.00
_cell_angle_beta 90.00
_cell_angle_gamma 90.00
_symmetry_space_group_name_H-M 'P 4/m m m'
_symmetry_Int_Tables_number 123
_symmetry_space_group_name_Hall '-P 4 2'
loop_
_atom_site_label
_atom_site_type_symbol
_atom_site_fract_x
_atom_site_fract_y
_atom_site_fract_z
Be1 Be 0.0000 0.0000 0.0000
Zn1 Zn 0.0000 0.0000 0.5000
Cr1 Cr 0.5000 0.5000 0.5000
C1 C 0.0000 0.5000 0.0000
# - V (A^3/atom) = 10.5
# - ΔE_f (eV per atom) = 1.63

---

| no. | DOS(E_F) (states/eV per cell) |
| --- | --- |
| 1 | 1.11 |
| 2 | 1.91 |